First-principles (PBE) data for a geometry-optimized CeNd10Ho4 structure, as listed in the Alexandria database.

a b c (Å): 8.7882 8.7882 8.7882
angles (deg): 111.86 111.86 104.80
Last column: nearest neighbours and their distance in Å.
Element x y z (fractional)
1 Ce 0.0000 0.0000 0.0000  4 Ho 3.32
2 Nd 0.1309 0.2278 0.6710  5 Nd 3.21-3.40
3 Nd 0.2278 0.5568 0.0969  5 Nd 3.21-3.40
4 Nd 0.2500 0.7500 0.5000  4 Ho 3.20, 4 Nd 3.21
5 Nd 0.4432 0.5401 0.6710  5 Nd 3.21-3.40
6 Nd 0.4599 0.1309 0.9031  5 Nd 3.21-3.40
7 Nd 0.5401 0.8691 0.0969  5 Nd 3.21-3.40
8 Nd 0.5568 0.4599 0.3290  5 Nd 3.21-3.40
9 Nd 0.7500 0.2500 0.5000  4 Ho 3.20, 4 Nd 3.21
10 Nd 0.7722 0.4432 0.9031  5 Nd 3.21-3.40
11 Nd 0.8691 0.7722 0.3290  5 Nd 3.21-3.40
12 Ho 0.0599 0.6677 0.7276  2 Nd 3.20, 1 Ce 3.32, 1 Ho 3.51
13 Ho 0.3323 0.0599 0.3922  2 Nd 3.20, 1 Ce 3.32, 1 Ho 3.51
14 Ho 0.6677 0.9401 0.6078  2 Nd 3.20, 1 Ce 3.32, 1 Ho 3.51
15 Ho 0.9401 0.3323 0.2724  2 Nd 3.20, 1 Ce 3.32, 1 Ho 3.51

Output
E_tot = -4.47 eV/atom
Size of the total moment = 1.16 μB per cell
E_form = 0.32 eV/atom
Calculated volume = 519.9 Å³ per cell